[1]
NbAsAu after structural relaxation, computed with PBE.

- SG: No. 129
- DFT formation energy: -71 meV per atom

Structure (POSCAR):
```
NbAsAu
1.0
3.746 0.000 0.000
0.000 3.746 0.000
0.000 0.000 7.909
Nb As Au
2 2 2
Direct
0.250 0.250 0.139
0.750 0.750 0.861
0.250 0.250 0.807
0.750 0.750 0.193
0.250 0.750 0.500
0.750 0.250 0.500
```

---

[2]
NbAsAu3 after structural relaxation, computed with PBE.

- SG: No. 221
- DFT formation energy: 1210 meV per atom
- Distance to the lowest polymorph of the same formula: 329 meV per atom

Structure (POSCAR):
```
NbAsAu3
1.0
5.100 0.000 0.000
0.000 5.100 0.000
0.000 0.000 5.100
Nb As Au
1 1 3
Direct
0.000 0.000 0.000
0.500 0.500 0.500
0.000 0.000 0.500
0.000 0.500 0.000
0.500 0.000 0.000
```